Material: MnFeF2
Method: DFT, PBE with a Hubbard U
State: optimized geometry

Raw total energy (eV per atom): -5.442
Total moment (μB/f.u.): 8.6

a b c (Å): 7.7328 7.7328 7.7328
angles (deg): 23.91 23.91 23.91
Last column: nearest neighbours and their distance in Å.
Atoms (fractional coordinates):
F (0.8812, 0.8812, 0.8812)  3 Mn 2.14
F (0.1188, 0.1188, 0.1188)  3 Mn 2.14
Fe (0.0000, 0.0000, 0.0000)  2 F 2.68
Mn (0.5000, 0.5000, 0.5000)  6 F 2.14